# Pm2Pr3Sm5 | Alexandria | PBE | optimized geometry
# - Electronic total energy: -87.8 eV for the cell shown
# - Total magnetization: 0.00 μB/f.u.
# - Symmetry: Ibam (72)
# - Offset from the most stable computed form: 1.77 eV per formula unit
# - ΔH_f (0 K): 0.354 eV per atom
# - Theoretical density: 6.567 g/cm3
data_Pm2Pr3Sm5
_chemical_formula_sum 'Pm4 Pr6 Sm10'
_cell_length_a 6.959
_cell_length_b 12.594
_cell_length_c 12.594
_cell_angle_alpha 44.68
_cell_angle_beta 73.96
_cell_angle_gamma 73.96
_symmetry_space_group_name_H-M 'P 1'
_symmetry_Int_Tables_number 1
_symmetry_space_group_name_Hall 'P 1'
loop_
_atom_site_label
_atom_site_fract_x
_atom_site_fract_y
_atom_site_fract_z
Pr1 0.129 0.122 0.620
Pm1 0.628 0.968 0.776
Pm2 0.872 0.224 0.032
Sm1 0.377 0.719 0.528
Sm2 0.750 0.500 0.500
Sm3 0.877 0.528 0.719
Sm4 0.002 0.748 0.748
Pr2 0.371 0.380 0.878
Sm5 0.123 0.472 0.281
Pr3 0.629 0.620 0.122
Pm3 0.372 0.032 0.224
Pr4 0.750 0.000 0.000
Pr5 0.871 0.878 0.380
Pr6 0.250 0.000 0.000
Sm6 0.998 0.252 0.252
Sm7 0.502 0.748 0.748
Sm8 0.623 0.281 0.472
Pm4 0.128 0.776 0.968
Sm9 0.498 0.252 0.252
Sm10 0.250 0.500 0.500

***

# Pr2Y3Rh2 | Alexandria | PBE | optimized geometry
# - Electronic total energy: -47.3 eV for the cell shown
# - Total magnetization: 0.00 μB/f.u.
# - Symmetry: C2/m (12)
# - ΔH_f (0 K): -0.527 eV per atom
# - Theoretical density: 6.488 g/cm3
data_Pr2Y3Rh2
_chemical_formula_sum 'Pr2 Y3 Rh2'
_cell_length_a 3.788
_cell_length_b 6.488
_cell_length_c 9.169
_cell_angle_alpha 115.17
_cell_angle_beta 90.00
_cell_angle_gamma 106.97
_symmetry_space_group_name_H-M 'P 1'
_symmetry_Int_Tables_number 1
_symmetry_space_group_name_Hall 'P 1'
loop_
_atom_site_label
_atom_site_fract_x
_atom_site_fract_y
_atom_site_fract_z
Pr1 0.834 0.668 0.193
Pr2 0.166 0.332 0.807
Rh1 0.827 0.655 0.758
Y1 0.500 0.000 0.000
Y2 0.383 0.766 0.571
Y3 0.617 0.234 0.429
Rh2 0.173 0.345 0.242

***

# HfPdRhAu | Alexandria | PBE | optimized geometry
# - Electronic total energy: -28.2 eV for the cell shown
# - Total magnetization: 0.00 μB/f.u.
# - Symmetry: F-43m (216)
# - Offset from the most stable computed form: 0.57 eV per formula unit
# - ΔH_f (0 K): -0.617 eV per atom
# - Theoretical density: 14.453 g/cm3
data_HfPdRhAu
_chemical_formula_sum 'Hf1 Pd1 Rh1 Au1'
_cell_length_a 4.563
_cell_length_b 4.563
_cell_length_c 4.563
_cell_angle_alpha 60.00
_cell_angle_beta 60.00
_cell_angle_gamma 60.00
_symmetry_space_group_name_H-M 'P 1'
_symmetry_Int_Tables_number 1
_symmetry_space_group_name_Hall 'P 1'
loop_
_atom_site_label
_atom_site_fract_x
_atom_site_fract_y
_atom_site_fract_z
Hf1 0.500 0.500 0.500
Au1 0.000 0.000 0.000
Pd1 0.750 0.750 0.750
Rh1 0.250 0.250 0.250

***

# VTe2AsAu | Alexandria | PBE | optimized geometry
# - Electronic total energy: -18.9 eV for the cell shown
# - Total magnetization: 0.05 μB/f.u.
# - Symmetry: P4/mmm (123)
# - Theoretical density: 6.963 g/cm3
data_VTe2AsAu
_chemical_formula_sum 'V1 Te2 As1 Au1'
_cell_length_a 5.453
_cell_length_b 4.636
_cell_length_c 5.453
_cell_angle_alpha 90.00
_cell_angle_beta 90.00
_cell_angle_gamma 90.00
_symmetry_space_group_name_H-M 'P 1'
_symmetry_Int_Tables_number 1
_symmetry_space_group_name_Hall 'P 1'
loop_
_atom_site_label
_atom_site_fract_x
_atom_site_fract_y
_atom_site_fract_z
Au1 0.500 0.500 0.500
V1 0.000 0.500 0.000
Te1 0.500 0.000 0.000
As1 0.000 0.000 0.000
Te2 0.000 0.000 0.500

***

# Sc12TlCo5 | Alexandria | PBE | optimized geometry
# - Electronic total energy: -119.4 eV for the cell shown
# - Total magnetization: 0.00 μB/f.u.
# - Symmetry: Immm (71)
# - ΔH_f (0 K): -0.305 eV per atom
# - Theoretical density: 4.936 g/cm3
data_Sc12TlCo5
_chemical_formula_sum 'Sc12 Tl1 Co5'
_cell_length_a 7.693
_cell_length_b 7.693
_cell_length_c 7.693
_cell_angle_alpha 105.92
_cell_angle_beta 110.67
_cell_angle_gamma 111.88
_symmetry_space_group_name_H-M 'P 1'
_symmetry_Int_Tables_number 1
_symmetry_space_group_name_Hall 'P 1'
loop_
_atom_site_label
_atom_site_fract_x
_atom_site_fract_y
_atom_site_fract_z
Sc1 0.538 0.816 0.722
Sc2 0.805 0.584 0.779
Sc3 0.906 0.184 0.722
Sc4 0.698 0.314 0.012
Co1 0.364 0.364 0.000
Sc5 0.094 0.816 0.278
Tl1 0.000 0.500 0.500
Sc6 0.302 0.314 0.617
Sc7 0.805 0.026 0.221
Co2 0.000 0.000 0.000
Sc8 0.462 0.184 0.278
Sc9 0.698 0.686 0.383
Co3 0.500 0.118 0.618
Co4 0.636 0.636 0.000
Sc10 0.195 0.974 0.779
Sc11 0.302 0.686 0.988
Co5 0.500 0.882 0.382
Sc12 0.195 0.416 0.221

***

# Rb2CdGa | Alexandria | PBE | optimized geometry
# - Electronic total energy: -9.6 eV for the cell shown
# - Total magnetization: 0.00 μB/f.u.
# - Symmetry: I-42d (122)
# - Offset from the most stable computed form: 0.22 eV per formula unit
# - ΔH_f (0 K): 0.264 eV per atom
# - Theoretical density: 3.330 g/cm3
data_Rb2CdGa
_chemical_formula_sum 'Rb4 Cd2 Ga2'
_cell_length_a 10.057
_cell_length_b 10.057
_cell_length_c 7.918
_cell_angle_alpha 50.57
_cell_angle_beta 50.57
_cell_angle_gamma 90.00
_symmetry_space_group_name_H-M 'P 1'
_symmetry_Int_Tables_number 1
_symmetry_space_group_name_Hall 'P 1'
loop_
_atom_site_label
_atom_site_fract_x
_atom_site_fract_y
_atom_site_fract_z
Rb1 0.875 0.863 0.750
Ga1 0.250 0.750 0.500
Rb2 0.137 0.625 0.250
Cd1 0.000 0.000 0.000
Rb3 0.613 0.125 0.250
Rb4 0.375 0.387 0.750
Ga2 0.500 0.500 0.000
Cd2 0.750 0.250 0.500

***

# PuCrN | Alexandria | PBE | optimized geometry
# - Electronic total energy: -31.3 eV for the cell shown
# - Total magnetization: 2.82 μB/f.u.
# - Symmetry: I4mm (107)
# - Offset from the most stable computed form: 1.09 eV per formula unit
# - Theoretical density: 11.879 g/cm3
data_PuCrN
_chemical_formula_sum 'Pu1 Cr1 N1'
_cell_length_a 3.717
_cell_length_b 3.717
_cell_length_c 4.092
_cell_angle_alpha 117.01
_cell_angle_beta 117.01
_cell_angle_gamma 90.00
_symmetry_space_group_name_H-M 'P 1'
_symmetry_Int_Tables_number 1
_symmetry_space_group_name_Hall 'P 1'
loop_
_atom_site_label
_atom_site_fract_x
_atom_site_fract_y
_atom_site_fract_z
N1 0.266 0.266 0.531
Pu1 0.613 0.613 0.227
Cr1 0.971 0.971 0.942

***

# Ba2ThInAu6 | Alexandria | PBE | optimized geometry
# - Electronic total energy: -36.7 eV for the cell shown
# - Total magnetization: 0.00 μB/f.u.
# - Symmetry: Fm-3m (225)
# - ΔH_f (0 K): -0.305 eV per atom
# - Theoretical density: 8.866 g/cm3
data_Ba2ThInAu6
_chemical_formula_sum 'Ba2 Th1 In1 Au6'
_cell_length_a 7.817
_cell_length_b 7.817
_cell_length_c 7.817
_cell_angle_alpha 60.00
_cell_angle_beta 60.00
_cell_angle_gamma 90.00
_symmetry_space_group_name_H-M 'P 1'
_symmetry_Int_Tables_number 1
_symmetry_space_group_name_Hall 'P 1'
loop_
_atom_site_label
_atom_site_fract_x
_atom_site_fract_y
_atom_site_fract_z
Ba1 0.750 0.250 0.500
Au1 0.244 0.756 0.000
Au2 0.244 0.244 0.512
Th1 0.500 0.500 0.000
In1 0.000 0.000 0.000
Au3 0.756 0.756 0.488
Au4 0.244 0.244 0.000
Au5 0.756 0.756 0.000
Au6 0.756 0.244 0.000
Ba2 0.250 0.750 0.500

***

# CrHSe2 | Alexandria | PBE | optimized geometry
# - Electronic total energy: -40.5 eV for the cell shown
# - Total magnetization: 3.00 μB/f.u.
# - Symmetry: Cmcm (63)
# - Offset from the most stable computed form: 1.01 eV per formula unit
# - Theoretical density: 4.978 g/cm3
data_CrHSe2
_chemical_formula_sum 'Cr2 H2 Se4'
_cell_length_a 11.454
_cell_length_b 11.454
_cell_length_c 3.519
_cell_angle_alpha 90.00
_cell_angle_beta 90.00
_cell_angle_gamma 162.26
_symmetry_space_group_name_H-M 'P 1'
_symmetry_Int_Tables_number 1
_symmetry_space_group_name_Hall 'P 1'
loop_
_atom_site_label
_atom_site_fract_x
_atom_site_fract_y
_atom_site_fract_z
H1 0.933 0.067 0.750
H2 0.067 0.933 0.250
Se1 0.086 0.914 0.750
Se2 0.207 0.793 0.250
Cr1 0.670 0.330 0.750
Cr2 0.330 0.670 0.250
Se3 0.793 0.207 0.750
Se4 0.914 0.086 0.250

***

# Ag2Te2Cl | Alexandria | PBE | optimized geometry
# - Electronic total energy: -14.2 eV for the cell shown
# - Total magnetization: 0.00 μB/f.u.
# - Symmetry: I4/mmm (139)
# - Offset from the most stable computed form: 0.43 eV per formula unit
# - Theoretical density: 6.160 g/cm3
data_Ag2Te2Cl
_chemical_formula_sum 'Ag2 Te2 Cl1'
_cell_length_a 5.473
_cell_length_b 5.473
_cell_length_c 5.979
_cell_angle_alpha 62.76
_cell_angle_beta 62.76
_cell_angle_gamma 90.00
_symmetry_space_group_name_H-M 'P 1'
_symmetry_Int_Tables_number 1
_symmetry_space_group_name_Hall 'P 1'
loop_
_atom_site_label
_atom_site_fract_x
_atom_site_fract_y
_atom_site_fract_z
Cl1 0.000 0.000 0.000
Te1 0.654 0.654 0.693
Ag1 0.750 0.250 0.500
Te2 0.346 0.346 0.307
Ag2 0.250 0.750 0.500